## SrB2O (PBE)

Data for a relaxed SrB2O crystal.

Unit cell a=9.922 b=9.922 c=9.922 alpha=160.25 beta=160.25 gamma=28.07
Positions (direct):
Sr  0.375  0.625  0.750
Sr  0.625  0.375  0.250
B  0.000  0.000  0.000
B  0.000  0.000  0.500
B  0.000  0.500  0.000
B  0.500  0.000  0.500
O  0.125  0.875  0.250
O  0.875  0.125  0.750

Calculated values
E_form (uncorrected)	-1.68	eV per formula unit

## Rb3BaC (PBE)

Data for a relaxed Rb3BaC crystal.

Unit cell a=6.564 b=6.564 c=6.564 alpha=90.00 beta=90.00 gamma=90.00
Positions (direct):
Rb  0.000  0.000  0.500
Rb  0.000  0.500  0.000
Rb  0.500  0.000  0.000
Ba  0.500  0.500  0.500
C  0.000  0.000  0.000

Calculated values
excess energy over the best structure of this formula in the dataset	0.0	meV/atom
energy of formation	5.11	eV per formula unit

## Pm2ErPaP4 (PBE)

Data for a relaxed Pm2ErPaP4 crystal.

Unit cell a=6.973 b=4.047 c=7.025 alpha=90.00 beta=109.42 gamma=90.00
Positions (direct):
Pm  0.000  0.000  0.000
Pm  0.500  0.500  0.000
Er  0.000  0.500  0.500
Pa  0.500  0.000  0.500
P  0.249  0.000  0.737
P  0.256  0.500  0.263
P  0.744  0.500  0.737
P  0.751  0.000  0.263

Calculated values
energy of formation	-12.20	eV per formula unit

## Ca2CdAs2 (PBE)

Data for a relaxed Ca2CdAs2 crystal.

Unit cell a=8.545 b=8.545 c=7.223 alpha=90.00 beta=90.00 gamma=150.58
Positions (direct):
Ca  0.033  0.967  0.500
Ca  0.200  0.800  0.152
Ca  0.800  0.200  0.652
Ca  0.967  0.033  0.000
Cd  0.401  0.599  0.335
Cd  0.599  0.401  0.835
As  0.182  0.818  0.728
As  0.435  0.565  0.712
As  0.565  0.435  0.212
As  0.818  0.182  0.228

Calculated values
energy of formation	-4.70	eV per formula unit

## NiHPd2Rh (PBE)

Data for a relaxed NiHPd2Rh crystal.

Unit cell a=3.935 b=3.935 c=3.810 alpha=90.00 beta=90.00 gamma=90.00
Positions (direct):
Ni  0.000  0.000  0.000
H  0.000  0.000  0.500
Pd  0.000  0.500  0.500
Pd  0.500  0.000  0.500
Rh  0.500  0.500  0.000

Calculated values
excess energy over the best structure of this formula in the dataset	23.4	meV/atom

## KLiSnBr6 (PBE)

Data for a relaxed KLiSnBr6 crystal.

Unit cell a=7.053 b=7.053 c=14.513 alpha=90.00 beta=90.00 gamma=120.00
Positions (direct):
K  0.000  0.000  0.000
K  0.000  0.000  0.500
Li  0.333  0.667  0.250
Li  0.667  0.333  0.750
Sn  0.333  0.667  0.750
Sn  0.667  0.333  0.250
Br  0.011  0.376  0.644
Br  0.011  0.635  0.856
Br  0.365  0.376  0.856
Br  0.365  0.989  0.644
Br  0.376  0.011  0.144
Br  0.376  0.365  0.356
Br  0.624  0.635  0.644
Br  0.624  0.989  0.856
Br  0.635  0.011  0.356
Br  0.635  0.624  0.144
Br  0.989  0.365  0.144
Br  0.989  0.624  0.356

Calculated values
E_form (uncorrected)	-9.76	eV per formula unit

Ordered uncorrected energy results: -5.42, -1.79, -7.18, -3.78, -5.28, -2.98; unit eV/atom.